Below is CaCoSi2 after structural relaxation, with properties calculated at the GGA-PBEsol level.

Structure (POSCAR):
```
CaCoSi2
1.0
-0.733 -2.033 -1.756
2.859 -3.135 2.436
-4.611 0.269 1.613
Co Si Ca
1 2 1
direct
0.500 0.500 0.500
0.000 0.000 0.500
0.000 0.500 0.000
0.500 0.000 0.000
```

Properties
Calculated total energy: -5.1782 eV per atom
N(E_F): 2.86 states/eV/f.u.

=====

Below is CaTlCo2Si after structural relaxation, with properties calculated at the GGA-PBEsol level.

Structure (POSCAR):
```
CaTlCo2Si
1.0
4.526 0.000 0.000
0.000 4.526 0.000
0.000 0.000 5.173
Tl Ca Si Co
1 1 1 2
direct
0.500 0.500 0.500
0.000 0.000 0.000
0.000 0.000 0.500
0.500 0.000 0.000
0.000 0.500 0.000
```

Properties
Calculated total energy: -3.4995 eV per atom
N(E_F): 8.54 states/eV/f.u.

=====

Below is CaTl2CoSi after structural relaxation, with properties calculated at the GGA-PBEsol level.

Structure (POSCAR):
```
CaTl2CoSi
1.0
-2.485 -0.077 3.602
-3.910 -2.992 -2.761
2.511 -4.785 1.630
Ca Co Si Tl
1 1 1 2
direct
0.000 0.000 0.000
0.500 0.000 0.000
0.500 0.500 0.500
0.000 0.500 0.000
0.000 0.000 0.500
```

Properties
Calculated total energy: -2.7916 eV per atom
N(E_F): 5.81 states/eV/f.u.

=====

Below is Ca3Co4Sn13 after structural relaxation, with properties calculated at the GGA-PBEsol level.

Structure (POSCAR):
```
Ca3Co4Sn13
1.0
9.472 0.000 0.000
0.000 9.472 0.000
0.000 0.000 9.472
Ca Co Sn
6 8 26
direct
0.250 0.500 0.000
0.500 0.000 0.750
0.500 0.000 0.250
0.000 0.250 0.500
0.000 0.750 0.500
0.750 0.500 0.000
0.750 0.250 0.250
0.750 0.750 0.250
0.250 0.250 0.750
0.250 0.750 0.250
0.750 0.250 0.750
0.250 0.750 0.750
0.250 0.250 0.250
0.750 0.750 0.750
0.500 0.658 0.199
0.801 0.500 0.658
0.842 0.000 0.699
0.000 0.699 0.158
0.000 0.301 0.158
0.500 0.658 0.801
0.500 0.342 0.801
0.301 0.158 0.000
0.658 0.801 0.500
0.199 0.500 0.658
0.000 0.000 0.000
0.801 0.500 0.342
0.658 0.199 0.500
0.500 0.500 0.500
0.158 0.000 0.699
0.699 0.158 0.000
0.500 0.342 0.199
0.342 0.801 0.500
0.199 0.500 0.342
0.842 0.000 0.301
0.342 0.199 0.500
0.699 0.842 0.000
0.000 0.301 0.842
0.158 0.000 0.301
0.301 0.842 0.000
0.000 0.699 0.842
```

Properties
Formation energy from the elements: -667 kJ/mol of formula units
Calculated total energy: -4.9815 eV per atom
N(E_F): 9.93 states/eV/f.u.

=====

Below is Sr2CaCo after structural relaxation, with properties calculated at the GGA-PBEsol level.

Structure (POSCAR):
```
Sr2CaCo
1.0
3.679 0.000 0.108
0.000 3.681 0.000
-0.275 0.000 9.769
Co Sr Ca
1 2 1
direct
0.500 0.500 0.500
0.000 0.000 0.324
0.000 0.000 0.676
0.500 0.500 0.000
```

Properties
Formation energy from the elements: 141 kJ/mol of formula units
Calculated total energy: -3.0215 eV per atom
N(E_F): 7.82 states/eV/f.u.

=====

Below is Ca2TaCo after structural relaxation, with properties calculated at the GGA-PBEsol level.

Structure (POSCAR):
```
Ca2TaCo
1.0
4.979 0.000 0.000
2.490 4.312 0.000
2.490 1.437 4.065
Co Ca Ta
1 2 1
direct
0.000 0.000 0.000
0.750 0.750 0.750
0.250 0.250 0.250
0.500 0.500 0.500
```

Properties
Formation energy from the elements: 455 kJ/mol of formula units
Calculated total energy: -4.9590 eV per atom
N(E_F): 11.24 states/eV/f.u.

=====

Below is Ca2TaCo after structural relaxation, with properties calculated at the GGA-PBEsol level.

Structure (POSCAR):
```
Ca2TaCo
1.0
2.964 0.000 0.000
0.000 5.425 0.000
0.000 0.000 5.425
Ca Co Ta
2 1 1
direct
0.000 0.500 0.000
0.000 0.000 0.500
0.500 0.500 0.500
0.500 0.000 0.000
```

Properties
Formation energy from the elements: 405 kJ/mol of formula units
Calculated total energy: -5.0905 eV per atom
N(E_F): 5.35 states/eV/f.u.

=====

Below is Ca2TaCo after structural relaxation, with properties calculated at the GGA-PBEsol level.

Structure (POSCAR):
```
Ca2TaCo
1.0
3.612 0.000 0.000
1.806 3.129 0.000
1.806 1.043 9.182
Ca Ta Co
2 1 1
direct
0.780 0.780 0.661
0.984 0.984 0.047
0.220 0.220 0.339
0.516 0.516 0.453
```

Properties
Formation energy from the elements: 140 kJ/mol of formula units
Calculated total energy: -5.7749 eV per atom
N(E_F): 3.08 states/eV/f.u.

=====

Below is Ca2TaCo after structural relaxation, with properties calculated at the GGA-PBEsol level.

Structure (POSCAR):
```
Ca2TaCo
1.0
3.151 0.000 0.000
0.000 3.730 0.000
-1.576 -1.865 8.446
Co Ca Ta
1 2 1
direct
0.000 0.500 0.000
0.346 0.346 0.693
0.654 0.654 0.307
0.500 0.000 0.000
```

Properties
Formation energy from the elements: 131 kJ/mol of formula units
Calculated total energy: -5.7999 eV per atom
N(E_F): 4.86 states/eV/f.u.

=====

Below is CaTaCo after structural relaxation, with properties calculated at the GGA-PBEsol level.

Structure (POSCAR):
```
CaTaCo
1.0
4.325 0.000 0.000
2.162 3.745 0.000
2.162 1.248 3.531
Ta Co Ca
1 1 1
direct
0.250 0.250 0.250
0.500 0.500 0.500
0.000 0.000 0.000
```

Properties
Formation energy from the elements: 359 kJ/mol of formula units
Calculated total energy: -6.2331 eV per atom
N(E_F): 3.64 states/eV/f.u.

=====

Below is CaCo2Tc after structural relaxation, with properties calculated at the GGA-PBEsol level.

Structure (POSCAR):
```
CaCo2Tc
1.0
2.757 0.000 0.000
0.000 4.506 0.028
0.000 -0.026 4.506
Tc Co Ca
1 2 1
direct
0.500 0.000 0.000
0.000 0.000 0.500
0.000 0.500 0.000
0.500 0.500 0.500
```

Properties
Formation energy from the elements: 193 kJ/mol of formula units
Calculated total energy: -6.7187 eV per atom
N(E_F): 5.04 states/eV/f.u.

=====

Below is Ca2CoTc after structural relaxation, with properties calculated at the GGA-PBEsol level.

Structure (POSCAR):
```
Ca2CoTc
1.0
-3.836 1.406 0.141
-0.688 -2.214 3.367
3.609 3.827 0.772
Ca Tc Co
2 1 1
direct
0.750 0.250 0.500
0.250 0.750 0.500
0.000 0.000 0.000
0.500 0.500 0.000
```

Properties
Formation energy from the elements: 317 kJ/mol of formula units
Calculated total energy: -4.9963 eV per atom
N(E_F): 3.72 states/eV/f.u.

=====

Below is CaCoTc2 after structural relaxation, with properties calculated at the GGA-PBEsol level.

Structure (POSCAR):
```
CaCoTc2
1.0
-2.488 0.817 -1.586
-1.210 -4.057 -0.192
-2.359 0.515 3.967
Co Tc Ca
1 2 1
direct
0.000 0.500 0.500
0.000 0.000 0.000
0.500 0.500 0.000
0.500 0.000 0.500
```

Properties
Formation energy from the elements: 240 kJ/mol of formula units
Calculated total energy: -7.4796 eV per atom
N(E_F): 4.19 states/eV/f.u.

=====

Below is CaCoTc2 after structural relaxation, with properties calculated at the GGA-PBEsol level.

Structure (POSCAR):
```
CaCoTc2
1.0
2.582 -0.003 0.000
-1.088 4.994 0.000
-0.747 -2.496 4.641
Ca Tc Co
1 2 1
direct
0.500 0.000 0.000
0.000 0.000 0.500
0.500 0.500 0.500
0.000 0.500 0.000
```

Properties
Formation energy from the elements: 246 kJ/mol of formula units
Calculated total energy: -7.4628 eV per atom
N(E_F): 4.92 states/eV/f.u.

=====

Below is CaCo2Tc after structural relaxation, with properties calculated at the GGA-PBEsol level.

Structure (POSCAR):
```
CaCo2Tc
1.0
2.720 0.000 -0.038
0.000 4.190 0.000
-0.915 0.000 5.075
Co Ca Tc
2 1 1
direct
0.899 0.500 0.289
0.847 0.000 0.011
0.252 0.500 0.798
0.502 0.000 0.402
```

Properties
Formation energy from the elements: 185 kJ/mol of formula units
Calculated total energy: -6.7401 eV per atom
N(E_F): 6.28 states/eV/f.u.

=====

Below is CaCoTc4 after structural relaxation, with properties calculated at the GGA-PBEsol level.

Structure (POSCAR):
```
CaCoTc4
1.0
-3.936 2.927 1.501
-4.691 -0.839 -1.900
-3.667 -1.973 2.997
Tc Ca Co
4 1 1
direct
0.375 0.876 0.375
0.375 0.375 0.375
0.876 0.375 0.375
0.375 0.375 0.876
0.750 0.750 0.750
0.000 0.000 0.000
```

Properties
Formation energy from the elements: 324 kJ/mol of formula units
Calculated total energy: -8.5959 eV per atom
N(E_F): 7.52 states/eV/f.u.

=====

Below is CaCoTc after structural relaxation, with properties calculated at the GGA-PBEsol level.

Structure (POSCAR):
```
CaCoTc
1.0
4.327 0.000 0.000
2.164 3.747 0.000
2.164 1.249 3.533
Co Ca Tc
1 1 1
direct
0.000 0.000 0.000
0.250 0.250 0.250
0.500 0.500 0.500
```

Properties
Formation energy from the elements: 556 kJ/mol of formula units
Calculated total energy: -5.1248 eV per atom
N(E_F): 4.67 states/eV/f.u.

=====

Below is CaCo2Tc after structural relaxation, with properties calculated at the GGA-PBEsol level.

Structure (POSCAR):
```
CaCo2Tc
1.0
-1.123 1.891 1.436
-1.395 -3.180 3.098
4.904 0.552 0.705
Co Ca Tc
2 1 1
direct
0.033 0.007 0.066
0.737 0.287 0.475
0.260 0.789 0.519
0.470 0.416 0.939
```

Properties
Formation energy from the elements: 177 kJ/mol of formula units
Calculated total energy: -6.7591 eV per atom
N(E_F): 4.74 states/eV/f.u.

=====

Below is CaCoTe2 after structural relaxation, with properties calculated at the GGA-PBEsol level.

Structure (POSCAR):
```
CaCoTe2
1.0
-3.125 2.989 1.298
-3.337 1.145 -2.818
-6.770 -4.742 2.472
Co Te Ca
1 2 1
direct
0.000 0.000 0.000
0.903 0.903 0.292
0.097 0.097 0.708
0.500 0.500 0.500
```

Properties
Calculated total energy: -4.2637 eV per atom
N(E_F): 8.22 states/eV/f.u.

=====

Below is CaCo2Te2 after structural relaxation, with properties calculated at the GGA-PBEsol level.

Structure (POSCAR):
```
CaCo2Te2
1.0
-0.702 -0.053 3.953
-1.716 -3.613 -0.353
6.750 -0.892 -0.852
Te Co Ca
2 2 1
direct
0.636 0.636 0.271
0.364 0.364 0.729
0.750 0.250 0.500
0.250 0.750 0.500
0.000 0.000 0.000
```

Properties
Calculated total energy: -5.3327 eV per atom
N(E_F): 3.17 states/eV/f.u.